Model w:
The following is a PBE calculation of a relaxed MgCd4Hg7 crystal, from Alexandria via LeMat-Bulk.

Calculated density in Mg/m³: 9.63
Space group: P-3m1 (164)

Geometry as POSCAR:
```
MgCd4Hg7
1.0
-1.7667 -3.2746 -1.9829
1.8083 -0.5440 3.7696
-18.3378 4.1999 9.4031
Mg Cd Hg
1 4 7
Cartesian
-9.1689 2.0999 4.7016
-2.1134 -2.0121 0.7234
-16.1828 2.3933 10.4664
-6.8366 -0.9303 3.1454
-11.4596 1.3116 8.0445
0.0000 0.0000 0.0000
-11.1338 0.0539 5.3489
-7.1623 0.3274 5.8410
-15.8218 1.1275 7.7527
-2.4744 -0.7463 3.4371
-4.7250 1.0822 2.4228
-13.6128 3.1177 6.9803
```

Model x:
The following is a PBE calculation of a relaxed MgCd4Hg7 crystal, from Alexandria via LeMat-Bulk.

Calculated density in Mg/m³: 10.90
Space group: P-1 (2)

Geometry as POSCAR:
```
MgCd4Hg7
1.0
-4.9445 4.0888 -0.1552
-2.0660 -1.9071 -4.4927
-6.9183 -4.3738 3.4245
Mg Cd Hg
1 4 7
Cartesian
0.0000 0.0000 0.0000
-6.2111 -0.7029 -1.9492
-7.7176 -1.4893 0.7259
-10.0575 -1.4276 -1.5406
-3.8713 -0.7645 0.3173
-4.7880 2.1412 -2.3538
-9.1407 -4.3334 1.1304
-10.1768 0.4968 0.6874
-3.7520 -2.6890 -1.9108
-7.6203 -3.4579 -1.4803
-2.4723 2.0444 -0.0776
-6.3085 1.2657 0.2569
```

What should be chosen as the most stable of them? Choose model x.

Model w:
The following is a PBE calculation of a relaxed MgCd3Hg crystal, from Alexandria via LeMat-Bulk.

Calculated density in Mg/m³: 8.22
Space group: Cmcm (63)

Geometry as POSCAR:
```
MgCd3Hg
1.0
4.2768 0.0000 0.9774
0.0000 4.4445 0.0000
-0.4577 0.0000 11.8489
Mg Cd Hg
2 6 2
Cartesian
1.7034 3.3334 8.7758
0.6118 1.1111 3.7067
3.2647 1.1111 1.9438
1.1839 1.1111 11.0493
2.2271 1.1111 6.4844
1.1313 3.3334 1.4332
3.3273 3.3334 11.5160
0.0881 3.3334 5.9981
2.7494 3.3334 4.1991
3.8428 1.1111 9.2608
```

Model x:
The following is a PBE calculation of a relaxed MgCd3Hg crystal, from Alexandria via LeMat-Bulk.

Calculated density in Mg/m³: 8.11
Space group: P2_1/m (11)

Geometry as POSCAR:
```
MgCd3Hg
1.0
5.1429 0.0000 -0.0609
0.0000 6.6615 0.0000
-2.5560 0.0000 6.7484
Mg Cd Hg
2 6 2
Cartesian
0.0274 4.9962 0.0310
2.5595 1.6654 6.6565
-0.0024 0.0336 2.5140
2.5892 3.3643 4.1735
2.5892 6.6280 4.1735
-0.0024 3.2972 2.5140
2.5603 1.6654 1.5818
0.0265 4.9962 5.1057
-0.0127 1.6654 5.2994
2.5996 4.9962 1.3881
```

What should be chosen as the most stable of them? Choose model w.

Model w:
The following is a PBE calculation of a relaxed MgCd2Hg4 crystal, from Alexandria via LeMat-Bulk.

Calculated density in Mg/m³: 10.16
Space group: I4/mmm (139)

Geometry as POSCAR:
```
MgCd2Hg4
1.0
4.6816 0.0000 -1.4924
-0.4757 4.6574 -1.4924
-0.0544 -0.0603 7.9187
Mg Cd Hg
1 2 4
Cartesian
0.0000 0.0000 0.0000
3.1240 3.4594 1.7108
1.0274 1.1377 3.2231
1.3521 4.0893 4.2415
3.9307 1.7606 4.2415
2.7994 0.5078 0.6925
0.2207 2.8365 0.6925
```

Model x:
The following is a PBE calculation of a relaxed MgCd2Hg4 crystal, from Alexandria via LeMat-Bulk.

Calculated density in Mg/m³: 7.96
Space group: I4/mmm (139)

Geometry as POSCAR:
```
MgCd2Hg4
1.0
5.5133 0.0000 0.0000
0.0000 5.5133 0.0000
-2.7567 -2.7567 7.2174
Mg Hg Cd
1 4 2
Cartesian
0.0000 0.0000 0.0000
2.7567 2.7567 4.3986
0.0000 0.0000 2.8187
0.0000 2.7567 0.0000
2.7567 0.0000 0.0000
2.7567 2.7567 1.5353
0.0000 0.0000 5.6821
```

Model y:
The following is a PBE calculation of a relaxed MgCd2Hg4 crystal, from Alexandria via LeMat-Bulk.

Calculated density in Mg/m³: 10.14
Space group: P2_1/m (11)

Geometry as POSCAR:
```
MgCd2Hg4
1.0
-1.0278 -2.6465 -6.5477
-5.1432 -2.8510 1.9597
-3.7860 7.3385 0.7398
Mg Cd Hg
2 4 8
Cartesian
-4.9242 -1.1611 0.0915
-5.0328 3.0021 -3.9397
-4.7605 -4.0265 -3.6474
-5.1966 5.8675 -0.2008
-3.2655 1.5408 -1.4273
-6.6916 0.3002 -2.4209
-4.0096 -1.2677 -2.6399
-7.1269 3.8634 1.6202
-2.8301 -2.0223 -5.4684
-1.4774 0.1359 -3.6047
-4.3118 0.7289 -5.3544
-8.4796 1.7051 -0.2435
-5.9474 3.1087 -1.2083
-5.6453 1.1121 1.5062
```

What should be chosen as the most stable of them? Choose model w.

Model w:
The following is a PBE calculation of a relaxed MgCd8Hg2 crystal, from Alexandria via LeMat-Bulk.

Calculated density in Mg/m³: 8.30
Space group: C2/m (12)

Geometry as POSCAR:
```
MgCd8Hg2
1.0
-5.1389 1.3242 -0.6749
-4.7480 -6.1295 -1.2609
-3.4193 -3.6543 6.1715
Mg Cd Hg
1 8 2
Cartesian
-2.5694 0.6621 -0.3375
-5.4908 -0.2947 0.7068
-8.4403 -3.6840 3.8212
-3.4699 -2.0798 -0.7135
-7.7692 -5.7221 1.3410
-5.5370 -2.7374 2.8947
-6.4170 -2.7255 -1.2223
-4.8659 -4.7756 0.4144
-7.8154 -8.1649 3.5289
-2.7749 -3.2908 1.9781
-5.3924 -6.4929 2.9325
```

Model x:
The following is a PBE calculation of a relaxed MgCd8Hg2 crystal, from Alexandria via LeMat-Bulk.

Calculated density in Mg/m³: 7.98
Space group: C2/m (12)

Geometry as POSCAR:
```
MgCd8Hg2
1.0
-3.0161 -3.9384 -0.8501
3.5946 -5.1992 4.7847
-2.8207 -0.8422 7.3607
Mg Cd Hg
1 8 2
Cartesian
0.0000 0.0000 0.0000
-3.2598 -4.9039 5.0410
-1.3904 -3.4405 7.2213
-2.5602 -4.9656 2.0226
0.3180 -5.0142 9.2727
-0.8518 -6.5393 4.0741
1.0176 -5.0758 6.2544
-0.7367 -3.4766 4.0455
-1.5055 -6.5032 7.2498
-1.3113 -2.5785 1.0957
-0.9310 -7.4012 10.1996
```

What should be chosen as the most stable of them? Choose model x.

Model w:
The following is a PBE calculation of a relaxed Mg2CdHg2 crystal, from Alexandria via LeMat-Bulk.

Calculated density in Mg/m³: 8.04
Space group: C2/m (12)

Geometry as POSCAR:
```
Mg2CdHg2
1.0
0.6653 -5.0151 1.9026
5.4019 0.1568 0.0846
-4.5022 4.9315 2.2988
Mg Cd Hg
2 1 2
Cartesian
2.1545 1.5348 1.6163
-0.5896 -1.4615 2.6696
0.0000 0.0000 0.0000
2.1035 -1.3955 1.5107
-0.5386 1.4688 2.7752
```

Model x:
The following is a PBE calculation of a relaxed Mg2CdHg2 crystal, from Alexandria via LeMat-Bulk.

Calculated density in Mg/m³: 7.37
Space group: I4/mmm (139)

Geometry as POSCAR:
```
Mg2CdHg2
1.0
4.1831 0.0000 0.0000
0.0000 4.1831 0.0000
2.0916 2.0916 7.2374
Mg Hg Cd
2 2 1
Cartesian
2.0916 2.0916 1.4634
4.1831 4.1831 5.7741
4.1831 2.0916 3.6187
2.0916 4.1831 3.6187
0.0000 0.0000 0.0000
```

Model y:
The following is a PBE calculation of a relaxed Mg2CdHg2 crystal, from Alexandria via LeMat-Bulk.

Calculated density in Mg/m³: 7.58
Space group: I4/mmm (139)

Geometry as POSCAR:
```
Mg2CdHg2
1.0
4.3392 0.0000 0.0000
0.0000 4.3392 0.0000
2.1696 2.1696 6.5371
Mg Hg Cd
2 2 1
Cartesian
4.3392 2.1696 3.2685
2.1696 4.3392 3.2685
2.1696 2.1696 1.3995
4.3392 4.3392 5.1375
0.0000 0.0000 0.0000
```

Model z:
The following is a PBE calculation of a relaxed Mg2CdHg2 crystal, from Alexandria via LeMat-Bulk.

Calculated density in Mg/m³: 7.51
Space group: Pbam (55)

Geometry as POSCAR:
```
Mg2CdHg2
1.0
-0.2087 1.1937 -3.1795
-2.9245 -3.5897 -1.1557
-12.0654 8.5421 3.9990
Mg Cd Hg
4 2 4
Cartesian
-6.6236 -0.4102 0.2808
-8.3663 5.3626 2.5625
-3.2165 0.0077 0.2141
-11.7734 4.9447 2.6292
-7.4950 2.4762 1.4217
0.0000 0.0000 0.0000
-4.6369 -1.2609 -1.9896
-10.5617 7.4069 1.6534
-5.3779 2.0939 -0.6815
-9.8207 4.0522 0.3453
```

What should be chosen as the most stable of them? Choose model w.

Model w:
The following is a PBE calculation of a relaxed Mg2Cd2Hg crystal, from Alexandria via LeMat-Bulk.

Calculated density in Mg/m³: 6.31
Space group: I4/mmm (139)

Geometry as POSCAR:
```
Mg2Cd2Hg
1.0
4.2200 0.0000 0.0000
0.0000 4.2200 0.0000
2.1100 2.1100 7.0014
Mg Hg Cd
2 1 2
Cartesian
4.2200 2.1100 3.5007
2.1100 4.2200 3.5007
0.0000 0.0000 0.0000
2.1100 2.1100 1.3994
4.2200 4.2200 5.6020
```

Model x:
The following is a PBE calculation of a relaxed Mg2Cd2Hg crystal, from Alexandria via LeMat-Bulk.

Calculated density in Mg/m³: 7.02
Space group: P2/m (10)

Geometry as POSCAR:
```
Mg2Cd2Hg
1.0
3.2356 0.0000 0.0000
0.0000 4.5444 -0.0800
0.0000 -2.1292 7.6678
Mg Cd Hg
2 2 1
Cartesian
1.6178 0.1118 6.0328
1.6178 2.3034 1.5550
0.0000 2.3599 4.6215
0.0000 0.0553 2.9662
0.0000 0.0000 0.0000
```

What should be chosen as the most stable of them? Choose model x.

Model w:
The following is a PBE calculation of a relaxed Mg3CdHg crystal, from Alexandria via LeMat-Bulk.

Calculated density in Mg/m³: 5.59
Space group: Pmmn (59)

Geometry as POSCAR:
```
Mg3CdHg
1.0
-3.0037 -1.0833 3.4047
4.6441 -6.1049 2.1547
3.0560 3.6909 3.8707
Mg Cd Hg
6 2 2
Cartesian
2.0282 -2.0772 2.7283
2.6682 -1.4202 6.7018
0.2565 0.2518 1.9063
4.4399 -3.7491 7.5238
2.6944 0.9618 4.2831
2.0020 -4.4591 5.1470
0.3580 -0.5878 4.9284
4.3384 -2.9096 4.5017
-1.0550 -2.2943 3.1388
5.7514 -1.2031 6.2912
```

Model x:
The following is a PBE calculation of a relaxed Mg3CdHg crystal, from Alexandria via LeMat-Bulk.

Calculated density in Mg/m³: 4.38
Space group: Pm-3m (221)

Geometry as POSCAR:
```
Mg3CdHg
1.0
5.2701 0.0000 0.0000
0.0000 5.2701 0.0000
0.0000 0.0000 5.2701
Mg Hg Cd
3 1 1
Cartesian
0.0000 2.6350 0.0000
0.0000 0.0000 2.6350
2.6350 0.0000 0.0000
0.0000 0.0000 0.0000
2.6350 2.6350 2.6350
```

Model y:
The following is a PBE calculation of a relaxed Mg3CdHg crystal, from Alexandria via LeMat-Bulk.

Calculated density in Mg/m³: 5.90
Space group: P1 (1)

Geometry as POSCAR:
```
Mg3CdHg
1.0
-0.4020 -1.0489 3.0803
5.4217 -7.4234 3.4090
3.8111 2.8952 -1.9755
Mg Cd Hg
3 1 1
Cartesian
3.9492 -1.4621 2.0821
8.0938 -5.2240 3.0951
5.2613 -5.2062 4.4603
2.9511 -4.3261 2.6944
1.5555 -0.4881 0.3565
```

What should be chosen as the most stable of them? Choose model y.

Model w:
The following is a PBE calculation of a relaxed MgCd4Hg3 crystal, from Alexandria via LeMat-Bulk.

Calculated density in Mg/m³: 9.68
Space group: C2/m (12)

Geometry as POSCAR:
```
MgCd4Hg3
1.0
3.1375 0.0000 0.0000
0.0000 4.4657 -2.9697
-1.5687 -7.7862 18.3510
Mg Cd Hg
1 4 3
Cartesian
1.5687 0.0000 0.0000
1.5687 -0.3831 3.6841
0.0000 -2.9374 11.6972
1.5687 -0.6105 6.8969
0.0000 -2.7100 8.4844
0.0000 2.2329 -1.4849
0.0000 1.6888 1.9612
1.5687 -5.0093 13.4201
```

Model x:
The following is a PBE calculation of a relaxed MgCd4Hg3 crystal, from Alexandria via LeMat-Bulk.

Calculated density in Mg/m³: 8.97
Space group: C2/m (12)

Geometry as POSCAR:
```
MgCd4Hg3
1.0
3.0701 0.0000 -0.3874
-0.0999 5.0824 -0.7919
0.0476 0.0828 12.7369
Mg Hg Cd
1 3 4
Cartesian
1.5350 0.0000 -0.1937
-0.0500 2.5412 -0.3959
0.4396 3.3415 3.4842
2.5781 1.8238 8.0735
2.2023 1.1020 5.0951
0.8154 4.0632 6.4626
0.3108 0.5653 2.4632
2.7069 4.5999 9.0945
```

What should be chosen as the most stable of them? Choose model w.

Model w:
The following is a PBE calculation of a relaxed Mg3Cd2Hg8 crystal, from Alexandria via LeMat-Bulk.

Calculated density in Mg/m³: 10.21
Space group: P-1 (2)

Geometry as POSCAR:
```
Mg3Cd2Hg8
1.0
-4.1950 -2.9545 -1.3265
1.1923 -6.0631 7.5054
-5.2526 6.3861 -1.3949
Mg Cd Hg
3 2 8
Cartesian
-2.0975 -1.4772 -0.6633
-3.8770 -3.6870 1.2544
-4.3783 1.0554 3.5296
-4.3099 0.6109 0.3523
-3.9454 -3.2425 4.4317
-0.8309 -2.8887 4.6811
-7.4245 0.2572 0.1029
-5.3272 -1.8214 -1.0760
-2.9282 -0.8101 5.8600
-5.6498 -1.5110 2.4073
-6.0587 2.9824 -0.1142
-2.1967 -5.6139 4.8982
-2.6055 -1.1206 2.3767
```

Model x:
The following is a PBE calculation of a relaxed Mg3Cd2Hg8 crystal, from Alexandria via LeMat-Bulk.

Calculated density in Mg/m³: 9.66
Space group: C2/m (12)

Geometry as POSCAR:
```
Mg3Cd2Hg8
1.0
-3.4705 -2.1960 4.2267
-5.0813 -2.7378 -5.5947
6.4960 -4.2901 1.9741
Mg Cd Hg
3 2 8
Cartesian
-1.7353 -1.0980 2.1133
-1.0482 -0.5648 -1.1541
-4.0331 -2.1730 -4.4406
0.4542 -3.1892 1.1481
-2.5100 -6.0347 -0.5420
-4.9084 -4.9286 1.0950
2.8526 -4.2953 -0.4889
-1.6931 -3.7024 3.3495
-0.3628 -5.5214 -2.7433
0.2502 -6.1476 0.6039
2.1660 -5.1154 2.7132
-4.2218 -4.1084 -2.1070
-2.3060 -3.0763 0.0023
```

What should be chosen as the most stable of them? Choose model w.